Entry from Alexandria via LeMat-Bulk: a geometry-optimized La5YEr2 structure (PBE).

Lattice parameters (Å, degrees): 6.6935 6.6935 16.5756 90.00 90.00 129.87
Fractional positions:
1 La 0.0325 0.9675 0.7500
2 La 0.1174 0.8826 0.0506
3 La 0.1174 0.8826 0.4494
4 La 0.4274 0.5726 0.0944
5 La 0.4274 0.5726 0.4056
6 La 0.5726 0.4274 0.5944
7 La 0.5726 0.4274 0.9056
8 La 0.8826 0.1174 0.5506
9 La 0.8826 0.1174 0.9494
10 La 0.9675 0.0325 0.2500
11 Y 0.2462 0.7538 0.2500
12 Y 0.7538 0.2462 0.7500
13 Er 0.2730 0.7270 0.6367
14 Er 0.2730 0.7270 0.8633
15 Er 0.7270 0.2730 0.1367
16 Er 0.7270 0.2730 0.3633

Computed properties:
- total moment (μB/f.u.) = 0.000
- energy relative to the elements (kJ per mole of atoms) = 11.82
- symmetry = No. 63
- E (eV per atom) = -4.91
- D(E_F) (states/eV/atom) = 1.50